# V2CuPdO8

A geometry-optimized V2CuPdO8 structure (PBE with a Hubbard U, the Alexandria database).

Geometry as CIF:
```
data_V2CuPdO8
_chemical_formula_sum 'V2 Cu1 Pd1 O8'
_cell_length_a 5.6698
_cell_length_b 5.6698
_cell_length_c 5.6499
_cell_angle_alpha 90.00
_cell_angle_beta 90.00
_cell_angle_gamma 120.00
_symmetry_space_group_name_H-M 'P -3 m 1'
_symmetry_Int_Tables_number 164
_symmetry_space_group_name_Hall '-P 3 2"'
loop_
_atom_site_label
_atom_site_type_symbol
_atom_site_fract_x
_atom_site_fract_y
_atom_site_fract_z
V1 V 0.3333 0.6667 0.1985
Cu1 Cu 0.0000 0.0000 0.0000
Pd1 Pd 0.0000 0.0000 0.5000
O1 O 0.1533 0.3066 0.2633
O2 O 0.3333 0.6667 0.9114
```


# V2CuPdO6

A geometry-optimized V2CuPdO6 structure (PBE with a Hubbard U, the Alexandria database).

Geometry as CIF:
```
data_V2CuPdO6
_chemical_formula_sum 'V8 Cu4 Pd4 O24'
_cell_length_a 12.155
_cell_length_b 8.851
_cell_length_c 6.038
_cell_angle_alpha 90.00
_cell_angle_beta 118.49
_cell_angle_gamma 90.00
_symmetry_space_group_name_H-M 'C 1 2/c 1'
_symmetry_Int_Tables_number 15
_symmetry_space_group_name_Hall '-C 2yc'
loop_
_atom_site_label
_atom_site_type_symbol
_atom_site_fract_x
_atom_site_fract_y
_atom_site_fract_z
V1 V 0.215 0.102 0.207
Cu1 Cu 0.000 0.358 0.750
Pd1 Pd 0.000 0.332 0.250
O1 O 0.124 0.357 0.638
O2 O 0.135 0.270 0.125
O3 O 0.176 0.002 0.422
```


# CuPd2WO

A geometry-optimized CuPd2WO structure (PBE with a Hubbard U, the Alexandria database).

Geometry as CIF:
```
data_CuPd2WO
_chemical_formula_sum 'Cu1 Pd2 W1 O1'
_cell_length_a 5.027
_cell_length_b 5.027
_cell_length_c 3.759
_cell_angle_alpha 90.00
_cell_angle_beta 90.00
_cell_angle_gamma 90.00
_symmetry_space_group_name_H-M 'P 4/m m m'
_symmetry_Int_Tables_number 123
_symmetry_space_group_name_Hall '-P 4 2'
loop_
_atom_site_label
_atom_site_type_symbol
_atom_site_fract_x
_atom_site_fract_y
_atom_site_fract_z
Cu1 Cu 0.000 0.000 0.000
Pd1 Pd 0.000 0.500 0.500
W1 W 0.500 0.500 0.500
O1 O 0.500 0.500 0.000
```


Theoretical density per entry: 4.2 4.3 8.3 Mg/m³
Uncorrected energy per entry: -76.53 -267.07 -24.99 eV per cell